First-principles (PBE) data for crystalline GdYCoPt at its relaxed geometry, as listed in the Alexandria database.

```
GdYCoPt
1.0
0.0000 3.4513 3.4513
3.4513 0.0000 3.4513
3.4513 3.4513 0.0000
Gd Y Co Pt
1 1 1 1
Direct
0.0000 0.0000 0.0000
0.5000 0.5000 0.5000
0.2500 0.2500 0.2500
0.7500 0.7500 0.7500
```

## Properties
Calculated density (Mg/m³): 10.1
DFT total energy (eV for the cell shown): -36.2
Energy relative to the elements (kJ/mol of formula units): -242
Symmetry: F-43m
Crystal system: cubic